1.
Here is crystalline SbRhO2F at its relaxed geometry from the Alexandria database. Energies are from GGA-PBE.

a = 4.1389 Å, b = 4.1389 Å, c = 4.2648 Å
α = 90.00°, β = 90.00°, γ = 90.00°
Atoms (fractional coordinates):
Sb: 0.0000 0.0000 0.0000
Rh: 0.5000 0.5000 0.5000
O: 0.0000 0.5000 0.0000
O: 0.5000 0.0000 0.0000
F: 0.0000 0.0000 0.5000



2.
Here is crystalline PuTa2MoC4 at its relaxed geometry from the Alexandria database. Energies are from GGA-PBE.

a = 5.9292 Å, b = 5.9292 Å, c = 11.3333 Å
α = 90.00°, β = 90.00°, γ = 148.53°
Atoms (fractional coordinates):
Pu: 0.1120 0.8880 0.7500
Pu: 0.8880 0.1120 0.2500
Ta: 0.3710 0.6290 0.5354
Ta: 0.3710 0.6290 0.9646
Ta: 0.6290 0.3710 0.0354
Ta: 0.6290 0.3710 0.4646
Mo: 0.1546 0.8454 0.2500
Mo: 0.8454 0.1546 0.7500
C: 0.0000 0.0000 0.0000
C: 0.0000 0.0000 0.5000
C: 0.2623 0.7377 0.1118
C: 0.2623 0.7377 0.3882
C: 0.4536 0.5464 0.7500
C: 0.5464 0.4536 0.2500
C: 0.7377 0.2623 0.6118
C: 0.7377 0.2623 0.8882

## Properties
E_form = -0.1861 eV/atom



3.
Here is crystalline MgTcPt2Br at its relaxed geometry from the Alexandria database. Energies are from GGA-PBE.

a = 4.8590 Å, b = 4.8590 Å, c = 4.9562 Å
α = 90.00°, β = 90.00°, γ = 90.00°
Atoms (fractional coordinates):
Mg: 0.0000 0.0000 0.0000
Tc: 0.5000 0.5000 0.5000
Pt: 0.0000 0.5000 0.5000
Pt: 0.5000 0.0000 0.5000
Br: 0.5000 0.5000 0.0000



4.
Here is crystalline Nd2GeHRh6 at its relaxed geometry from the Alexandria database. Energies are from GGA-PBE.

a = 6.1513 Å, b = 6.1513 Å, c = 6.1488 Å
α = 119.87°, β = 119.87°, γ = 90.16°
Atoms (fractional coordinates):
Nd: 0.2495 0.7505 0.0000
Nd: 0.7505 0.2495 0.0000
Ge: 0.0000 0.0000 0.5000
H: 0.5000 0.5000 0.5000
Rh: 0.2734 0.2734 0.0460
Rh: 0.2731 0.7269 0.5000
Rh: 0.2740 0.2740 0.5009
Rh: 0.7260 0.7260 0.4991
Rh: 0.7269 0.2731 0.5000
Rh: 0.7266 0.7266 0.9540



5.
Here is crystalline MgPaInBi at its relaxed geometry from the Alexandria database. Energies are from GGA-PBE.

a = 7.5054 Å, b = 7.5054 Å, c = 7.5054 Å
α = 90.00°, β = 90.00°, γ = 90.00°
Atoms (fractional coordinates):
Mg: 0.0000 0.0000 0.0000
Mg: 0.0000 0.5000 0.5000
Mg: 0.5000 0.0000 0.5000
Mg: 0.5000 0.5000 0.0000
Pa: 0.0000 0.0000 0.5000
Pa: 0.0000 0.5000 0.0000
Pa: 0.5000 0.0000 0.0000
Pa: 0.5000 0.5000 0.5000
In: 0.2500 0.2500 0.2500
In: 0.2500 0.7500 0.7500
In: 0.7500 0.2500 0.7500
In: 0.7500 0.7500 0.2500
Bi: 0.2500 0.2500 0.7500
Bi: 0.2500 0.7500 0.2500
Bi: 0.7500 0.2500 0.2500
Bi: 0.7500 0.7500 0.7500

## Properties
E_form = 0.0728 eV/atom



6.
Here is crystalline CaCu4Ni at its relaxed geometry from the Alexandria database. Energies are from GGA-PBE.

a = 4.3817 Å, b = 4.3817 Å, c = 6.6417 Å
α = 90.00°, β = 90.07°, γ = 90.00°
Atoms (fractional coordinates):
Ca: 0.0000 0.0000 0.0000
Cu: 0.0000 0.5000 0.5000
Cu: 0.5000 0.0000 0.5000
Cu: 0.5003 0.5000 0.1699
Cu: 0.4997 0.5000 0.8301
Ni: 0.5000 0.5000 0.5000

## Properties
E_form = 0.5734 eV/atom



7.
Here is crystalline TbNd2Cd2In2 at its relaxed geometry from the Alexandria database. Energies are from GGA-PBE.

a = 9.6368 Å, b = 9.6368 Å, c = 9.6368 Å
α = 29.87°, β = 29.87°, γ = 29.87°
Atoms (fractional coordinates):
Tb: 0.0000 0.0000 0.0000
Nd: 0.1277 0.1277 0.1277
Nd: 0.8723 0.8723 0.8723
Cd: 0.3932 0.3932 0.3932
Cd: 0.6068 0.6068 0.6068
In: 0.2631 0.2631 0.2631
In: 0.7369 0.7369 0.7369

## Properties
E_form = -0.2810 eV/atom



8.
Here is crystalline NdTc6 at its relaxed geometry from the Alexandria database. Energies are from GGA-PBE.

a = 6.7812 Å, b = 6.7812 Å, c = 6.7812 Å
α = 90.00°, β = 90.00°, γ = 90.00°
Atoms (fractional coordinates):
Nd: 0.0000 0.0000 0.0000
Nd: 0.5000 0.5000 0.5000
Tc: 0.0000 0.2500 0.5000
Tc: 0.0000 0.5000 0.2500
Tc: 0.0000 0.5000 0.7500
Tc: 0.0000 0.7500 0.5000
Tc: 0.2500 0.0000 0.5000
Tc: 0.2500 0.5000 0.0000
Tc: 0.5000 0.0000 0.2500
Tc: 0.5000 0.0000 0.7500
Tc: 0.5000 0.2500 0.0000
Tc: 0.5000 0.7500 0.0000
Tc: 0.7500 0.0000 0.5000
Tc: 0.7500 0.5000 0.0000

## Properties
E_form = 0.8038 eV/atom



9.
Here is crystalline AcPm2Pb at its relaxed geometry from the Alexandria database. Energies are from GGA-PBE.

a = 4.2053 Å, b = 4.2053 Å, c = 7.6619 Å
α = 90.00°, β = 90.00°, γ = 90.00°
Atoms (fractional coordinates):
Ac: 0.0000 0.0000 0.0000
Pm: 0.5000 0.5000 0.2937
Pm: 0.5000 0.5000 0.7063
Pb: 0.0000 0.0000 0.5000

## Properties
E_form = -0.2225 eV/atom



10.
Here is crystalline Tl2CuBiBr at its relaxed geometry from the Alexandria database. Energies are from GGA-PBE.

a = 5.7488 Å, b = 5.7488 Å, c = 4.6174 Å
α = 90.00°, β = 90.00°, γ = 90.00°
Atoms (fractional coordinates):
Tl: 0.0000 0.5000 0.0000
Tl: 0.5000 0.0000 0.0000
Cu: 0.0000 0.0000 0.0000
Bi: 0.5000 0.5000 0.5000
Br: 0.0000 0.0000 0.5000



11.
Here is crystalline MnAg at its relaxed geometry from the Alexandria database. Energies are from GGA-PBE.

a = 2.9014 Å, b = 4.6889 Å, c = 4.8716 Å
α = 90.00°, β = 90.00°, γ = 90.00°
Atoms (fractional coordinates):
Mn: 0.2500 0.2500 0.0863
Mn: 0.7500 0.7500 0.9137
Ag: 0.2500 0.7500 0.4051
Ag: 0.7500 0.2500 0.5949

## Properties
E_form = 0.3618 eV/atom



12.
Here is crystalline Sc2ReAu at its relaxed geometry from the Alexandria database. Energies are from GGA-PBE.

a = 3.0041 Å, b = 3.0041 Å, c = 29.1535 Å
α = 90.00°, β = 90.00°, γ = 120.00°
Atoms (fractional coordinates):
Sc: 0.0000 0.0000 0.0000
Sc: 0.0000 0.0000 0.2377
Sc: 0.3333 0.6667 0.6667
Sc: 0.3333 0.6667 0.9044
Sc: 0.6667 0.3333 0.3333
Sc: 0.6667 0.3333 0.5710
Re: 0.0000 0.0000 0.4936
Re: 0.3333 0.6667 0.1603
Re: 0.6667 0.3333 0.8269
Au: 0.0000 0.0000 0.7472
Au: 0.3333 0.6667 0.4138
Au: 0.6667 0.3333 0.0805

## Properties
E_form = 0.2202 eV/atom



13.
Here is crystalline Ca2SbRu at its relaxed geometry from the Alexandria database. Energies are from GGA-PBE.

a = 3.4457 Å, b = 3.4457 Å, c = 8.8051 Å
α = 90.00°, β = 90.00°, γ = 90.00°
Atoms (fractional coordinates):
Ca: 0.0000 0.0000 0.0000
Ca: 0.5000 0.5000 0.3798
Sb: 0.5000 0.5000 0.7488
Ru: 0.0000 0.0000 0.6107



14.
Here is crystalline Sr4PIr at its relaxed geometry from the Alexandria database. Energies are from GGA-PBE.

a = 6.3471 Å, b = 6.3471 Å, c = 6.3471 Å
α = 60.00°, β = 60.00°, γ = 60.00°
Atoms (fractional coordinates):
Sr: 0.1246 0.1246 0.1246
Sr: 0.1246 0.1246 0.6262
Sr: 0.1246 0.6262 0.1246
Sr: 0.6262 0.1246 0.1246
P: 0.5000 0.5000 0.5000
Ir: 0.7500 0.7500 0.7500

## Properties
E_form = 0.8195 eV/atom



15.
Here is crystalline ReSeN2O at its relaxed geometry from the Alexandria database. Energies are from GGA-PBE.

a = 4.0002 Å, b = 4.0002 Å, c = 3.8074 Å
α = 90.00°, β = 90.00°, γ = 90.00°
Atoms (fractional coordinates):
Re: 0.0000 0.0000 0.0000
Se: 0.5000 0.5000 0.5000
N: 0.0000 0.5000 0.0000
N: 0.5000 0.0000 0.0000
O: 0.0000 0.0000 0.5000



16.
Here is crystalline CsHgBr3 at its relaxed geometry from the Alexandria database. Energies are from GGA-PBE.

a = 5.6092 Å, b = 8.9628 Å, c = 8.9772 Å
α = 73.63°, β = 89.29°, γ = 89.34°
Atoms (fractional coordinates):
Cs: 0.0000 0.0000 0.0000
Cs: 0.4975 0.5620 0.5624
Hg: 0.7470 0.4658 0.0964
Hg: 0.7495 0.0971 0.4648
Br: 0.5051 0.7079 0.1180
Br: 0.5064 0.1168 0.7071
Br: 0.5089 0.1821 0.1818
Br: 0.9878 0.3807 0.3795
Br: 0.9905 0.4454 0.8546
Br: 0.9912 0.8545 0.4440



17.
Here is crystalline LaY2Ho at its relaxed geometry from the Alexandria database. Energies are from GGA-PBE.

a = 5.0992 Å, b = 5.0992 Å, c = 5.1112 Å
α = 90.00°, β = 90.00°, γ = 90.00°
Atoms (fractional coordinates):
La: 0.0000 0.0000 0.0000
Y: 0.0000 0.5000 0.5000
Y: 0.5000 0.0000 0.5000
Ho: 0.5000 0.5000 0.0000

## Properties
E_form = 0.0346 eV/atom



18.
Here is crystalline CeI5 at its relaxed geometry from the Alexandria database. Energies are from GGA-PBE.

a = 15.1863 Å, b = 4.3116 Å, c = 12.0064 Å
α = 90.00°, β = 126.24°, γ = 90.00°
Atoms (fractional coordinates):
Ce: 0.0000 0.0000 0.0000
Ce: 0.5000 0.5000 0.0000
I: 0.0208 0.0000 0.2892
I: 0.1868 0.5000 0.1709
I: 0.2435 0.0000 0.5228
I: 0.3252 0.0000 0.9482
I: 0.4847 0.0000 0.7778
I: 0.5208 0.5000 0.2892
I: 0.6868 0.0000 0.1709
I: 0.7435 0.5000 0.5228
I: 0.8252 0.5000 0.9482
I: 0.9847 0.5000 0.7778



19.
Here is crystalline LaNd5Bi4 at its relaxed geometry from the Alexandria database. Energies are from GGA-PBE.

a = 10.8288 Å, b = 11.0059 Å, c = 6.2257 Å
α = 90.00°, β = 90.00°, γ = 90.00°
Atoms (fractional coordinates):
La: 0.2500 0.2500 0.0007
La: 0.7500 0.7500 0.9993
Nd: 0.9999 0.0001 0.2510
Nd: 0.0001 0.9999 0.7490
Nd: 0.9999 0.4999 0.2510
Nd: 0.0001 0.5001 0.7490
Nd: 0.2500 0.7500 0.4991
Nd: 0.5001 0.0001 0.2510
Nd: 0.4999 0.9999 0.7490
Nd: 0.5001 0.4999 0.2510
Nd: 0.4999 0.5001 0.7490
Nd: 0.7500 0.2500 0.5009
Bi: 0.0703 0.2500 0.5003
Bi: 0.2500 0.5771 0.0002
Bi: 0.2500 0.9229 0.0002
Bi: 0.4297 0.2500 0.5003
Bi: 0.5703 0.7500 0.4997
Bi: 0.7500 0.0771 0.9998
Bi: 0.7500 0.4229 0.9998
Bi: 0.9297 0.7500 0.4997

## Properties
E_form = -0.4505 eV/atom



20.
Here is crystalline KAlSn2 at its relaxed geometry from the Alexandria database. Energies are from GGA-PBE.

a = 4.5818 Å, b = 4.5818 Å, c = 21.4489 Å
α = 90.00°, β = 90.00°, γ = 120.00°
Atoms (fractional coordinates):
K: 0.0000 0.0000 0.0000
K: 0.3333 0.6667 0.6667
K: 0.6667 0.3333 0.3333
Al: 0.0000 0.0000 0.5000
Al: 0.3333 0.6667 0.1667
Al: 0.6667 0.3333 0.8333
Sn: 0.0000 0.0000 0.2167
Sn: 0.0000 0.0000 0.7833
Sn: 0.3333 0.6667 0.4500
Sn: 0.3333 0.6667 0.8834
Sn: 0.6667 0.3333 0.1166
Sn: 0.6667 0.3333 0.5500

## Properties
E_form = -0.0245 eV/atom



Number 1: E -25.38 eV for the cell shown. Number 2: E -174.50 eV for the cell shown. Number 3: E -22.46 eV for the cell shown. Number 4: E -66.93 eV for the cell shown. Number 5: E -69.68 eV for the cell shown. Number 6: E -20.73 eV for the cell shown. Number 7: E -23.44 eV for the cell shown. Number 8: E -122.67 eV for the cell shown. Number 9: E -18.21 eV for the cell shown. Number 10: E -13.51 eV for the cell shown. Number 11: E -22.59 eV for the cell shown. Number 12: E -82.52 eV for the cell shown. Number 13: E -18.29 eV for the cell shown. Number 14: E -16.08 eV for the cell shown. Number 15: E -34.76 eV for the cell shown. Number 16: E -22.52 eV for the cell shown. Number 17: E -22.29 eV for the cell shown. Number 18: E -37.91 eV for the cell shown. Number 19: E -97.59 eV for the cell shown. Number 20: E -38.83 eV for the cell shown.